This record from Alexandria via LeMat-Bulk describes a crystal of K2OsAu relaxed with PBEsol. The functional is meta-GGA SCAN.

Results
Formation enthalpy at 0 K in eV/atom: 1.030
Spin magnetization in μB per formula unit: 2.68
Offset from the most stable computed form in eV per atom: 0.203
Calculated total energy in eV/atom: -38.39
Space group: F-43m

a = 5.0585 Å, b = 5.0585 Å, c = 5.0585 Å
α = 60.00°, β = 60.00°, γ = 60.00°
Atoms (fractional coordinates):
K (0.0000, 0.0000, 0.0000)
K (0.2500, 0.2500, 0.2500)
Os (0.5000, 0.5000, 0.5000)
Au (0.7500, 0.7500, 0.7500)

---

This record from Alexandria via LeMat-Bulk describes a crystal of LuTa5Ag2O15 relaxed with PBEsol. The functional is meta-GGA SCAN.

Results
Formation energy (no corrections) in eV per atom: -2.728
Spin magnetization in μB per formula unit: 0.00
Calculated total energy in eV/atom: -26.40
Space group: P4/mbm

a = 12.4290 Å, b = 12.4290 Å, c = 3.8786 Å
α = 90.00°, β = 90.00°, γ = 90.00°
Atoms (fractional coordinates):
Lu (0.0000, 0.0000, 0.0000)
Lu (0.5000, 0.5000, 0.0000)
Ta (0.0000, 0.5000, 0.5000)
Ta (0.0812, 0.2086, 0.5000)
Ta (0.2086, 0.9188, 0.5000)
Ta (0.2914, 0.4188, 0.5000)
Ta (0.4188, 0.7086, 0.5000)
Ta (0.5000, 0.0000, 0.5000)
Ta (0.5812, 0.2914, 0.5000)
Ta (0.7086, 0.5812, 0.5000)
Ta (0.7914, 0.0812, 0.5000)
Ta (0.9188, 0.7914, 0.5000)
Ag (0.1572, 0.6572, 0.0000)
Ag (0.3428, 0.1572, 0.0000)
Ag (0.6572, 0.8428, 0.0000)
Ag (0.8428, 0.3428, 0.0000)
O (0.0000, 0.5000, 0.0000)
O (0.0015, 0.6598, 0.5000)
O (0.0566, 0.8706, 0.5000)
O (0.0778, 0.1837, 0.0000)
O (0.1294, 0.0566, 0.5000)
O (0.1598, 0.5015, 0.5000)
O (0.1837, 0.9222, 0.0000)
O (0.2262, 0.2738, 0.5000)
O (0.2738, 0.7738, 0.5000)
O (0.3163, 0.4222, 0.0000)
O (0.3402, 0.0015, 0.5000)
O (0.3706, 0.5566, 0.5000)
O (0.4222, 0.6837, 0.0000)
O (0.4434, 0.3706, 0.5000)
O (0.4985, 0.1598, 0.5000)
O (0.5000, 0.0000, 0.0000)
O (0.5015, 0.8402, 0.5000)
O (0.5566, 0.6294, 0.5000)
O (0.5778, 0.3163, 0.0000)
O (0.6294, 0.4434, 0.5000)
O (0.6598, 0.9985, 0.5000)
O (0.6837, 0.5778, 0.0000)
O (0.7262, 0.2262, 0.5000)
O (0.7738, 0.7262, 0.5000)
O (0.8163, 0.0778, 0.0000)
O (0.8402, 0.4985, 0.5000)
O (0.8706, 0.9434, 0.5000)
O (0.9222, 0.8163, 0.0000)
O (0.9434, 0.1294, 0.5000)
O (0.9985, 0.3402, 0.5000)

---

What is the calculated total energy in the first record? -38.39 eV/atom

---

Among the records above, which one has the highest spin magnetization? K2OsAu

---

Number 1 is which compound? K2OsAu

---

spin magnetization of number 2 (LuTa5Ag2O15)? 0.00 μB per formula unit